TaCdPb2: optimized geometry, PBE-GGA.

Results
Formation enthalpy at 0 K, eV per atom: 0.56
SG: C2/m
Final energy, eV per atom: -4.484

a b c (Å): 5.9361 5.9361 3.2139
angles (deg): 78.10 78.10 113.15
Fractional positions:
Pb: 0.5000 0.5000 0.0000
Pb: 0.0000 0.0000 0.0000
Cd: 0.0000 0.5000 0.5000
Ta: 0.5000 0.0000 0.5000